First-principles (GGA-PBE) data for an optimized crystal structure of Pm2YIr2, as listed in Alexandria.

Cell lengths 5.698, 4.393, 10.545 Å; angles 90.00, 94.75, 90.00 degrees
Space group P2_1/m (No. 11)
Symmetry-distinct sites (fractional):
1 Pm 0.110 0.250 0.377 (multiplicity 2)
2 Pm 0.252 0.250 0.032 (multiplicity 2)
3 Y 0.394 0.250 0.703 (multiplicity 2)
4 Ir 0.247 0.750 0.856 (multiplicity 2)
5 Ir 0.340 0.750 0.523 (multiplicity 2)

Values from the calculation:
* polymorph energy (0 for the lowest one): 3 meV per atom
* ΔH_f (0 K): -0.646 eV/atom
* raw total energy: -7.3830 eV/atom
* volume: 263.0 Å³/cell



First-principles (GGA-PBE) data for an optimized crystal structure of PmY2Ir, as listed in Alexandria.

Cell lengths 3.859, 12.331, 9.333 Å; angles 90.00, 90.00, 90.00 degrees
Space group Cmcm (No. 63)
Symmetry-distinct sites (fractional):
1 Pm 0.000 0.075 0.250 (multiplicity 4)
2 Y 0.000 0.358 0.068 (multiplicity 8)
3 Ir 0.000 0.248 0.750 (multiplicity 4)

Values from the calculation:
* polymorph energy (0 for the lowest one): 36 meV per atom
* ΔH_f (0 K): -0.500 eV/atom
* raw total energy: -7.1345 eV/atom
* volume: 444.1 Å³/cell



First-principles (GGA-PBE) data for an optimized crystal structure of PmY2Ir, as listed in Alexandria.

Cell lengths 4.6608, 4.6608, 17.9048 Å; angles 90.00, 90.00, 120.00 degrees
Space group R-3m (No. 166, hexagonal axes)
Symmetry-distinct sites (fractional):
1 Pm 0.0000 0.0000 0.0000 (multiplicity 3)
2 Y 0.0000 0.0000 0.2198 (multiplicity 6)
3 Ir 0.0000 0.0000 0.5000 (multiplicity 3)

Values from the calculation:
* polymorph energy (0 for the lowest one): 382 meV per atom
* ΔH_f (0 K): -0.153 eV/atom
* raw total energy: -6.7875 eV/atom
* volume: 336.8 Å³/cell



First-principles (GGA-PBE) data for an optimized crystal structure of Pm2Y3Ir2, as listed in Alexandria.

Cell lengths 12.324, 3.823, 9.074 Å; angles 90.00, 116.44, 90.00 degrees
Space group C2/m (No. 12)
Symmetry-distinct sites (fractional):
1 Pm 0.168 0.000 0.307 (multiplicity 4)
2 Y 0.000 0.500 0.500 (multiplicity 2)
3 Y 0.119 0.500 0.929 (multiplicity 4)
4 Ir 0.175 0.000 0.740 (multiplicity 4)

Values from the calculation:
* ΔH_f (0 K): -0.576 eV/atom
* raw total energy: -7.2355 eV/atom
* volume: 382.8 Å³/cell